{"formula": "Ce2Zn9In", "functional": "PBE", "state": "optimized geometry", "lattice_angstrom": [[-4.374, -0.956, 3.328], [-4.376, -2.889, -1.905], [0.684, -8.491, 3.135]], "species": ["Zn", "Zn", "Zn", "Ce", "Zn", "In", "Zn", "Zn", "Zn", "Zn", "Zn", "Ce"], "fractional_positions": [[0.584, 0.584, 0.754], [0.416, 0.416, 0.246], [0.922, 0.416, 0.246], [0.855, 0.855, 0.434], [0.078, 0.584, 0.754], [0.000, 0.000, 0.000], [0.665, 0.665, 0.005], [0.335, 0.335, 0.995], [0.416, 0.922, 0.246], [0.500, 0.500, 0.500], [0.584, 0.078, 0.754], [0.145, 0.145, 0.566]], "vol_a3_per_cell": 228.7, "energy_ev_per_cell": -27.296, "ef_ev_per_atom": -0.1020}

***

{"formula": "CeZnIn", "functional": "PBE", "state": "optimized geometry", "lattice_angstrom": [[3.351, 0.000, 0.000], [0.000, 3.351, 0.000], [-1.675, -1.675, 6.312]], "species": ["Ce", "In", "Zn"], "fractional_positions": [[0.011, 0.011, 0.021], [0.316, 0.316, 0.632], [0.673, 0.673, 0.347]], "vol_a3_per_cell": 70.9, "energy_ev_per_cell": -10.493, "ef_ev_per_atom": -0.1823}

***

{"formula": "Ce2Zn7In", "functional": "PBE", "state": "optimized geometry", "lattice_angstrom": [[4.298, 0.000, 0.000], [0.000, 4.298, 0.000], [0.000, 0.000, 10.699]], "species": ["Zn", "Zn", "Zn", "Ce", "In", "Zn", "Zn", "Zn", "Zn", "Ce"], "fractional_positions": [[0.000, 0.000, 0.000], [0.500, 0.500, 0.500], [0.000, 0.500, 0.626], [0.500, 0.000, 0.736], [0.500, 0.500, 0.000], [0.500, 0.000, 0.148], [0.500, 0.000, 0.374], [0.000, 0.500, 0.852], [0.000, 0.000, 0.500], [0.000, 0.500, 0.264]], "vol_a3_per_cell": 197.6, "energy_ev_per_cell": -26.101, "ef_ev_per_atom": -0.2577}

***

{"formula": "Ce3Zn4In2", "functional": "PBE", "state": "optimized geometry", "lattice_angstrom": [[-4.490, 0.110, 1.583], [0.584, 1.722, -5.627], [0.215, -8.909, 1.230]], "species": ["Ce", "Ce", "Ce", "Zn", "Zn", "In", "Zn", "Zn", "In"], "fractional_positions": [[0.000, 0.000, 0.000], [0.333, 0.667, 0.324], [0.667, 0.333, 0.676], [0.069, 0.138, 0.412], [0.931, 0.862, 0.588], [0.385, 0.770, 0.718], [0.714, 0.429, 0.040], [0.286, 0.571, 0.960], [0.615, 0.230, 0.282]], "vol_a3_per_cell": 206.5, "energy_ev_per_cell": -31.191, "ef_ev_per_atom": -0.3129}

***

{"formula": "Ce3ZnIn2", "functional": "PBE", "state": "optimized geometry", "lattice_angstrom": [[3.263, 0.000, 0.000], [0.000, 3.263, 0.000], [0.000, 0.000, 14.110]], "species": ["Ce", "In", "In", "Ce", "Ce", "Zn"], "fractional_positions": [[0.000, 0.000, 0.349], [0.500, 0.500, 0.174], [0.500, 0.500, 0.826], [0.000, 0.000, 0.000], [0.000, 0.000, 0.651], [0.500, 0.500, 0.500]], "vol_a3_per_cell": 150.2, "energy_ev_per_cell": -26.383, "ef_ev_per_atom": -0.3051}

***

{"formula": "Ce3Zn4In", "functional": "PBE", "state": "optimized geometry", "lattice_angstrom": [[-0.988, 2.425, 2.337], [-1.291, -4.897, 4.537], [8.842, 1.739, -0.702]], "species": ["Ce", "Ce", "Zn", "Zn", "Zn", "In", "Zn", "Ce"], "fractional_positions": [[0.793, 0.793, 0.586], [0.207, 0.207, 0.414], [0.373, 0.568, 0.746], [0.373, 0.178, 0.746], [0.627, 0.822, 0.254], [0.500, 0.000, 0.000], [0.627, 0.432, 0.254], [0.000, 0.500, 0.000]], "vol_a3_per_cell": 195.4, "energy_ev_per_cell": -26.104, "ef_ev_per_atom": -0.0586}

***

Repeat the fifth record exactly.
{"formula": "Ce3ZnIn2", "functional": "PBE", "state": "optimized geometry", "lattice_angstrom": [[3.263, 0.000, 0.000], [0.000, 3.263, 0.000], [0.000, 0.000, 14.110]], "species": ["Ce", "In", "In", "Ce", "Ce", "Zn"], "fractional_positions": [[0.000, 0.000, 0.349], [0.500, 0.500, 0.174], [0.500, 0.500, 0.826], [0.000, 0.000, 0.000], [0.000, 0.000, 0.651], [0.500, 0.500, 0.500]], "vol_a3_per_cell": 150.2, "energy_ev_per_cell": -26.383, "ef_ev_per_atom": -0.3051}